Below is CrFeTe after structural relaxation, with properties calculated at the PBE-GGA level.

The formation energy from raw total energies is 0.46 eV per atom. The symmetry is P3m1 (156).

Structure (POSCAR):
```
CrFeTe
1.0
3.9195 0.0000 0.0000
-1.9597 3.3944 0.0000
0.0000 0.0000 3.9899
Cr Fe Te
1 1 1
direct
0.0000 0.0000 0.0000 Cr
0.6667 0.3333 0.1854 Fe
0.3333 0.6667 0.5642 Te
```


Below is CrFe2Te after structural relaxation, with properties calculated at the PBE-GGA level.

The formation energy from raw total energies is 0.34 eV per atom. The symmetry is Fm-3m (225).

Structure (POSCAR):
```
CrFe2Te
1.0
0.0000 2.9802 2.9802
2.9802 0.0000 2.9802
2.9802 2.9802 0.0000
Cr Fe Te
1 2 1
direct
0.0000 0.0000 0.0000 Cr
0.2500 0.2500 0.2500 Fe
0.7500 0.7500 0.7500 Fe
0.5000 0.5000 0.5000 Te
```


Below is CrFeTe2 after structural relaxation, with properties calculated at the PBE-GGA level.

The formation energy from raw total energies is 0.12 eV per atom. The symmetry is Cm (8).

Structure (POSCAR):
```
CrFeTe2
1.0
4.0378 -1.7436 0.0000
4.0378 1.7436 0.0000
-1.7398 0.0000 6.7328
Cr Fe Te
1 1 2
direct
0.0000 0.0000 0.0000 Cr
0.2502 0.2502 0.8526 Fe
0.5024 0.5024 0.6891 Te
0.7507 0.7507 0.1807 Te
```


Below is CrFe2Te after structural relaxation, with properties calculated at the PBE-GGA level.

The formation energy from raw total energies is 0.45 eV per atom. The symmetry is C2/m (12).

Structure (POSCAR):
```
CrFe2Te
1.0
4.1643 -1.5538 0.0000
4.1643 1.5538 0.0000
-0.8478 0.0000 4.4237
Cr Fe Te
1 2 1
direct
0.0000 0.0000 0.0000 Cr
0.2555 0.2555 0.7838 Fe
0.7445 0.7445 0.2162 Fe
0.5000 0.5000 0.5000 Te
```


| no. | relative energy among the computed polymorphs (kJ/mol of formula units) | D(E_F) (states/eV/atom) |
| --- | --- | --- |
| 1 | 97 | 0.844 |
| 2 | 0 | 0.846 |
| 3 | 26 | 0.842 |
| 4 | 42 | 1.193 |